one | # Li4CdAg (PBE-GGA, relaxed)
data_Li4CdAg
_symmetry_space_group_name_H-M 'P 1'
_symmetry_Int_Tables_number 1
_symmetry_space_group_name_Hall 'P 1'
_cell_length_a 4.679
_cell_length_b 5.749
_cell_length_c 8.105
_cell_angle_alpha 72.53
_cell_angle_beta 90.79
_cell_angle_gamma 88.27
loop_
_atom_site_label
_atom_site_fract_x
_atom_site_fract_y
_atom_site_fract_z
Li1 0.247 0.753 0.417
Li2 0.251 0.028 0.082
Li3 0.750 0.755 0.590
Li4 0.749 0.468 0.927
Li5 0.753 0.247 0.583
Li6 0.250 0.245 0.410
Li7 0.749 0.972 0.918
Li8 0.251 0.532 0.073
Cd1 0.749 0.620 0.256
Cd2 0.251 0.380 0.744
Ag1 0.749 0.120 0.254
Ag2 0.251 0.880 0.746
# DOS at the Fermi energy: 4.997 states/eV/cell



two | # Li4CdAg (PBE-GGA, relaxed)
data_Li4CdAg
_symmetry_space_group_name_H-M 'P 1'
_symmetry_Int_Tables_number 1
_symmetry_space_group_name_Hall 'P 1'
_cell_length_a 5.205
_cell_length_b 5.205
_cell_length_c 5.205
_cell_angle_alpha 60.00
_cell_angle_beta 60.00
_cell_angle_gamma 60.00
loop_
_atom_site_label
_atom_site_fract_x
_atom_site_fract_y
_atom_site_fract_z
Li1 0.874 0.375 0.375
Li2 0.375 0.375 0.874
Li3 0.375 0.874 0.375
Li4 0.375 0.375 0.375
Cd1 0.000 0.000 0.000
Ag1 0.750 0.750 0.750
# DOS at the Fermi energy: 3.510 states/eV/cell



Order from most stable to least stable according to the calculation: one, two



one | # Li5Cd2Ag2 (PBE-GGA, relaxed)
data_Li5Cd2Ag2
_symmetry_space_group_name_H-M 'P 1'
_symmetry_Int_Tables_number 1
_symmetry_space_group_name_Hall 'P 1'
_cell_length_a 5.832
_cell_length_b 8.315
_cell_length_c 8.131
_cell_angle_alpha 120.75
_cell_angle_beta 90.00
_cell_angle_gamma 90.00
loop_
_atom_site_label
_atom_site_fract_x
_atom_site_fract_y
_atom_site_fract_z
Li1 0.000 0.000 0.000
Li2 0.500 0.500 0.000
Li3 0.750 0.900 0.300
Li4 0.250 0.400 0.300
Li5 0.250 0.900 0.300
Li6 0.750 0.400 0.300
Li7 0.250 0.100 0.700
Li8 0.750 0.600 0.700
Li9 0.750 0.100 0.700
Li10 0.250 0.600 0.700
Cd1 0.000 0.258 0.516
Cd2 0.500 0.758 0.516
Cd3 0.000 0.742 0.484
Cd4 0.500 0.242 0.484
Ag1 0.500 0.835 0.000
Ag2 0.500 0.165 0.000
Ag3 0.000 0.665 0.000
Ag4 0.000 0.335 0.000
# DOS at the Fermi energy: 3.909 states/eV/cell



two | # Li5Cd2Ag2 (PBE-GGA, relaxed)
data_Li5Cd2Ag2
_symmetry_space_group_name_H-M 'P 1'
_symmetry_Int_Tables_number 1
_symmetry_space_group_name_Hall 'P 1'
_cell_length_a 4.800
_cell_length_b 8.705
_cell_length_c 8.705
_cell_angle_alpha 76.89
_cell_angle_beta 74.00
_cell_angle_gamma 74.00
loop_
_atom_site_label
_atom_site_fract_x
_atom_site_fract_y
_atom_site_fract_z
Li1 0.206 0.283 0.625
Li2 0.114 0.717 0.375
Li3 0.706 0.125 0.783
Li4 0.614 0.875 0.217
Li5 0.910 0.334 0.960
Li6 0.204 0.666 0.040
Li7 0.410 0.460 0.834
Li8 0.704 0.540 0.166
Li9 0.247 0.070 0.430
Li10 0.747 0.930 0.570
Cd1 0.106 0.000 0.000
Cd2 0.606 0.500 0.500
Cd3 0.768 0.191 0.309
Cd4 0.268 0.809 0.691
Ag1 0.414 0.199 0.082
Ag2 0.695 0.801 0.918
Ag3 0.914 0.582 0.699
Ag4 0.195 0.418 0.301
# DOS at the Fermi energy: 7.598 states/eV/cell



Order from most stable to least stable according to the calculation: one, two



one | # Li5Cd2Ag4 (PBE-GGA, relaxed)
data_Li5Cd2Ag4
_symmetry_space_group_name_H-M 'P 1'
_symmetry_Int_Tables_number 1
_symmetry_space_group_name_Hall 'P 1'
_cell_length_a 5.454
_cell_length_b 5.454
_cell_length_c 7.696
_cell_angle_alpha 74.32
_cell_angle_beta 74.32
_cell_angle_gamma 64.68
loop_
_atom_site_label
_atom_site_fract_x
_atom_site_fract_y
_atom_site_fract_z
Li1 0.660 0.208 0.798
Li2 0.340 0.792 0.202
Li3 0.000 0.000 0.500
Li4 0.208 0.660 0.798
Li5 0.792 0.340 0.202
Cd1 0.156 0.156 0.871
Cd2 0.844 0.844 0.129
Ag1 0.341 0.341 0.500
Ag2 0.659 0.659 0.500
Ag3 0.676 0.676 0.864
Ag4 0.324 0.324 0.136
# DOS at the Fermi energy: 3.541 states/eV/cell



two | # Li5Cd2Ag4 (PBE-GGA, relaxed)
data_Li5Cd2Ag4
_symmetry_space_group_name_H-M 'P 1'
_symmetry_Int_Tables_number 1
_symmetry_space_group_name_Hall 'P 1'
_cell_length_a 2.902
_cell_length_b 7.649
_cell_length_c 10.590
_cell_angle_alpha 111.17
_cell_angle_beta 97.88
_cell_angle_gamma 90.00
loop_
_atom_site_label
_atom_site_fract_x
_atom_site_fract_y
_atom_site_fract_z
Li1 0.141 0.348 0.281
Li2 0.859 0.652 0.719
Li3 0.141 0.933 0.281
Li4 0.500 0.000 0.000
Li5 0.859 0.067 0.719
Cd1 0.741 0.741 0.481
Cd2 0.259 0.259 0.519
Ag1 0.597 0.597 0.194
Ag2 0.000 0.289 0.000
Ag3 0.403 0.403 0.806
Ag4 0.000 0.711 0.000
# DOS at the Fermi energy: 4.055 states/eV/cell



Order from most stable to least stable according to the calculation: one, two



one | # LiCd5Ag4 (PBE-GGA, relaxed)
data_LiCd5Ag4
_symmetry_space_group_name_H-M 'P 1'
_symmetry_Int_Tables_number 1
_symmetry_space_group_name_Hall 'P 1'
_cell_length_a 5.904
_cell_length_b 6.653
_cell_length_c 6.653
_cell_angle_alpha 78.65
_cell_angle_beta 63.66
_cell_angle_gamma 63.66
loop_
_atom_site_label
_atom_site_fract_x
_atom_site_fract_y
_atom_site_fract_z
Li1 0.185 0.000 0.000
Cd1 0.892 0.388 0.738
Cd2 0.281 0.738 0.612
Cd3 0.630 0.262 0.388
Cd4 0.019 0.612 0.262
Cd5 0.745 0.000 0.000
Ag1 0.332 0.344 0.872
Ag2 0.676 0.872 0.656
Ag3 0.204 0.128 0.344
Ag4 0.548 0.656 0.128
# DOS at the Fermi energy: 2.936 states/eV/cell



two | # LiCd5Ag4 (PBE-GGA, relaxed)
data_LiCd5Ag4
_symmetry_space_group_name_H-M 'P 1'
_symmetry_Int_Tables_number 1
_symmetry_space_group_name_Hall 'P 1'
_cell_length_a 3.124
_cell_length_b 3.124
_cell_length_c 19.604
_cell_angle_alpha 90.00
_cell_angle_beta 90.00
_cell_angle_gamma 90.00
loop_
_atom_site_label
_atom_site_fract_x
_atom_site_fract_y
_atom_site_fract_z
Li1 0.000 0.000 0.000
Cd1 0.500 0.500 0.093
Cd2 0.500 0.500 0.296
Cd3 0.500 0.500 0.500
Cd4 0.500 0.500 0.704
Cd5 0.500 0.500 0.907
Ag1 0.000 0.000 0.195
Ag2 0.000 0.000 0.398
Ag3 0.000 0.000 0.602
Ag4 0.000 0.000 0.805
# DOS at the Fermi energy: 1.817 states/eV/cell



Order from most stable to least stable according to the calculation: two, one